1) Here is crystalline Be2SnSe at its relaxed geometry from Alexandria. Energies are from PBE.

Computed properties:
M_tot	0.00	μB per cell

abc: 5.6988 5.6988 9.8061
angles: 90.00 90.00 90.00
Space group I-42d (No. 122)
Symmetry-distinct sites (fractional):
Be: 0.2056 0.2500 0.1250
Sn: 0.0000 0.0000 0.5000
Se: 0.0000 0.0000 0.0000

2) Here is crystalline Be2SnSe at its relaxed geometry from Alexandria. Energies are from PBE.

Computed properties:
M_tot	0.00	μB per cell

abc: 6.4389 6.4389 6.4389
angles: 90.00 90.00 90.00
Space group Fm-3m (No. 225)
Symmetry-distinct sites (fractional):
Be: 0.2500 0.2500 0.2500
Sn: 0.0000 0.0000 0.0000
Se: 0.0000 0.0000 0.5000

Quick ranking, most stable first: 1), 2).